First-principles (PBE) data for an optimized crystal structure of Sc2Ge2Os, as listed in Alexandria via LeMat-Bulk.

Summary:
The value obtained for the energy of formation is -0.697 eV/atom. The value obtained for the total energy is -73.22 eV for the cell shown.

Structure (CIF):
```
data_Sc2Ge2Os
_chemical_formula_sum 'Sc4 Ge4 Os2'
_symmetry_space_group_name_H-M 'P 1'
_symmetry_Int_Tables_number 1
_symmetry_space_group_name_Hall 'P 1'
_cell_length_a 6.569
_cell_length_b 6.569
_cell_length_c 4.038
_cell_angle_alpha 90.00
_cell_angle_beta 90.00
_cell_angle_gamma 90.00
loop_
_atom_site_label
_atom_site_type_symbol
_atom_site_fract_x
_atom_site_fract_y
_atom_site_fract_z
_atom_site_occupancy
Sc1 Sc 0.174 0.326 0.000 1
Sc2 Sc 0.326 0.826 0.000 1
Sc3 Sc 0.674 0.174 0.000 1
Sc4 Sc 0.826 0.674 0.000 1
Ge1 Ge 0.135 0.635 0.500 1
Ge2 Ge 0.365 0.135 0.500 1
Ge3 Ge 0.635 0.865 0.500 1
Ge4 Ge 0.865 0.365 0.500 1
Os1 Os 0.000 0.000 0.500 1
Os2 Os 0.500 0.500 0.500 1
```